(1)
! PBE CaAgSnBr6, relaxed; values from VASP
&SYSTEM
  ibrav = 0, nat = 9, ntyp = 4
/
ATOMIC_SPECIES
Ca 40.08 Ca.upf
Ag 107.87 Ag.upf
Sn 118.71 Sn.upf
Br 79.90 Br.upf
ATOMIC_POSITIONS angstrom
Ca 3.260 3.553 2.051
Ag 3.260 0.000 0.000
Sn 0.000 0.000 4.103
Br 4.897 2.365 4.174
Br 4.897 -1.245 6.116
Br 4.897 -1.121 2.019
Br 1.623 1.121 2.019
Br 1.623 1.245 6.116
Br 1.623 -2.365 4.174
CELL_PARAMETERS angstrom
6.520 0.000 0.000
0.000 7.106 0.000
0.000 -3.553 6.154
! - formation energy (no corrections) (eV per formula unit) = -8.90
! - final energy (eV/atom) = -3.088



(2)
! PBE CuTc2Se, relaxed; values from VASP
&SYSTEM
  ibrav = 0, nat = 4, ntyp = 3
/
ATOMIC_SPECIES
Cu 63.55 Cu.upf
Se 78.96 Se.upf
Tc 98.00 Tc.upf
ATOMIC_POSITIONS angstrom
Cu 0.000 2.395 2.623
Se 1.998 3.862 3.653
Tc 0.000 2.385 0.070
Tc 1.998 0.922 1.209
CELL_PARAMETERS angstrom
3.997 0.000 0.000
0.000 2.930 -0.014
0.000 1.493 5.061
! - formation energy (no corrections) (eV per formula unit) = 1.20
! - final energy (eV/atom) = -6.779



(3)
! PBE AcBiPb, relaxed; values from VASP
&SYSTEM
  ibrav = 0, nat = 6, ntyp = 3
/
ATOMIC_SPECIES
Ac 227.00 Ac.upf
Bi 208.98 Bi.upf
Pb 207.20 Pb.upf
ATOMIC_POSITIONS angstrom
Ac 1.178 0.000 1.941
Ac 3.533 2.420 7.307
Bi 1.178 2.420 4.602
Bi 3.533 0.000 4.646
Pb 1.178 0.000 8.210
Pb 3.533 2.420 1.038
CELL_PARAMETERS angstrom
4.710 0.000 0.000
0.000 4.841 0.000
0.000 -2.420 9.248
! - calculated formation energy (eV per atom) = -0.595
! - final energy (eV/atom) = -4.495



Copy entry 3 word for word.
! PBE AcBiPb, relaxed; values from VASP
&SYSTEM
  ibrav = 0, nat = 6, ntyp = 3
/
ATOMIC_SPECIES
Ac 227.00 Ac.upf
Bi 208.98 Bi.upf
Pb 207.20 Pb.upf
ATOMIC_POSITIONS angstrom
Ac 1.178 0.000 1.941
Ac 3.533 2.420 7.307
Bi 1.178 2.420 4.602
Bi 3.533 0.000 4.646
Pb 1.178 0.000 8.210
Pb 3.533 2.420 1.038
CELL_PARAMETERS angstrom
4.710 0.000 0.000
0.000 4.841 0.000
0.000 -2.420 9.248
! - calculated formation energy (eV per atom) = -0.595
! - final energy (eV/atom) = -4.495